[1]
Here is LaDy3Tm4 after structural relaxation from the Alexandria database. Energies are from PBE-GGA.

Cell: 12.0238 12.9116 3.4706 Å, 90.00 106.62 90.00°
Space group C2/m (No. 12)
Inequivalent atoms, fractional coordinates:
La 0.0000 0.0000 0.0000 x2
Dy 0.0000 0.2593 0.5000 x4
Dy 0.0000 0.5000 0.0000 x2
Tm 0.2430 0.3633 0.2433 x8

[2]
Here is BOsI2O after structural relaxation from the Alexandria database. Energies are from PBE-GGA.

Cell: 5.5410 5.5410 3.7460 Å, 90.00 90.00 90.00°
Space group P4/mmm (No. 123)
Inequivalent atoms, fractional coordinates:
B 0.0000 0.0000 0.0000 x1
Os 0.5000 0.5000 0.5000 x1
I 0.0000 0.5000 0.5000 x2
O 0.5000 0.5000 0.0000 x1

Number 1: DFT total energy -71.1 eV for the cell shown. Number 2: DFT total energy -21.8 eV for the cell shown.